Entry 1:
# NbZnS GGA-PBE optimized geometry
# formation energy from raw total energies: -0.43 eV per atom
# ρ: 5.7 g/cm3
data_NbZnS
_chemical_formula_sum 'Nb2 Zn2 S2'
_symmetry_space_group_name_H-M 'P 1'
_symmetry_Int_Tables_number 1
_symmetry_space_group_name_Hall 'P 1'
_cell_length_a 3.1708
_cell_length_b 3.1713
_cell_length_c 12.6436
_cell_angle_alpha 86.18
_cell_angle_beta 85.93
_cell_angle_gamma 61.19
loop_
_atom_site_label
_atom_site_type_symbol
_atom_site_fract_x
_atom_site_fract_y
_atom_site_fract_z
_atom_site_occupancy
Nb1 Nb 0.0000 0.0000 0.0000 1
Nb2 Nb 0.4980 0.5144 0.5002 1
Zn1 Zn 0.1964 0.2076 0.3288 1
Zn2 Zn 0.5987 0.6047 0.1729 1
S1 S 0.1362 0.1563 0.6254 1
S2 S 0.6907 0.6860 0.8736 1

Entry 2:
# SrLi2YRh GGA-PBE optimized geometry
# E: -3.908 eV per atom
# ρ: 3.5 g/cm3
data_SrLi2YRh
_chemical_formula_sum 'Sr1 Li2 Y1 Rh1'
_symmetry_space_group_name_H-M 'P 4/m m m'
_symmetry_Int_Tables_number 123
_symmetry_space_group_name_Hall '-P 4 2'
_cell_length_a 5.2047
_cell_length_b 5.2047
_cell_length_c 5.1049
_cell_angle_alpha 90.00
_cell_angle_beta 90.00
_cell_angle_gamma 90.00
loop_
_atom_site_label
_atom_site_type_symbol
_atom_site_fract_x
_atom_site_fract_y
_atom_site_fract_z
_atom_site_occupancy
Sr1 Sr 0.0000 0.0000 0.0000 1
Li1 Li 0.0000 0.5000 0.5000 1
Y1 Y 0.5000 0.5000 0.0000 1
Rh1 Rh 0.5000 0.5000 0.5000 1

Entry 3:
# LiZr2Rh GGA-PBE optimized geometry
# E: -6.871 eV per atom
# ρ: 6.7 g/cm3
data_LiZr2Rh
_chemical_formula_sum 'Li1 Zr2 Rh1'
_symmetry_space_group_name_H-M 'P 4 m m'
_symmetry_Int_Tables_number 99
_symmetry_space_group_name_Hall 'P 4 -2'
_cell_length_a 3.2842
_cell_length_b 3.2842
_cell_length_c 6.7226
_cell_angle_alpha 90.00
_cell_angle_beta 90.00
_cell_angle_gamma 90.00
loop_
_atom_site_label
_atom_site_type_symbol
_atom_site_fract_x
_atom_site_fract_y
_atom_site_fract_z
_atom_site_occupancy
Li1 Li 0.0000 0.0000 0.0000 1
Zr1 Zr 0.0000 0.0000 0.4179 1
Zr2 Zr 0.5000 0.5000 0.7272 1
Rh1 Rh 0.5000 0.5000 0.1856 1

Entry 4:
# RbNaCr3 GGA-PBE optimized geometry
# E: -4.107 eV per atom
# ρ: 2.0 g/cm3
data_RbNaCr3
_chemical_formula_sum 'Rb1 Na1 Cr3'
_symmetry_space_group_name_H-M 'P m -3 m'
_symmetry_Int_Tables_number 221
_symmetry_space_group_name_Hall '-P 4 2 3'
_cell_length_a 6.0835
_cell_length_b 6.0835
_cell_length_c 6.0835
_cell_angle_alpha 90.00
_cell_angle_beta 90.00
_cell_angle_gamma 90.00
loop_
_atom_site_label
_atom_site_type_symbol
_atom_site_fract_x
_atom_site_fract_y
_atom_site_fract_z
_atom_site_occupancy
Rb1 Rb 0.0000 0.0000 0.0000 1
Na1 Na 0.5000 0.5000 0.5000 1
Cr1 Cr 0.0000 0.0000 0.5000 1

Entry 5:
# AgW GGA-PBE optimized geometry
# energy above the most stable polymorph in this dataset: 2473 meV per atom
# ρ: 9.8 g/cm3
data_AgW
_chemical_formula_sum 'Ag4 W4'
_symmetry_space_group_name_H-M 'F -4 3 m'
_symmetry_Int_Tables_number 216
_symmetry_space_group_name_Hall 'F -4 2 3'
_cell_length_a 5.8340
_cell_length_b 5.8340
_cell_length_c 5.8340
_cell_angle_alpha 90.00
_cell_angle_beta 90.00
_cell_angle_gamma 90.00
loop_
_atom_site_label
_atom_site_type_symbol
_atom_site_fract_x
_atom_site_fract_y
_atom_site_fract_z
_atom_site_occupancy
Ag1 Ag 0.0000 0.0000 0.0000 1
W1 W 0.2500 0.2500 0.2500 1

Entry 6:
# LaHfF2 GGA-PBE optimized geometry
# formation energy from raw total energies: -1.25 eV per atom
# energy above the most stable polymorph in this dataset: 840 meV per atom
# ρ: 8.1 g/cm3
data_LaHfF2
_chemical_formula_sum 'La4 Hf4 F8'
_symmetry_space_group_name_H-M 'F m -3 m'
_symmetry_Int_Tables_number 225
_symmetry_space_group_name_Hall '-F 4 2 3'
_cell_length_a 6.6245
_cell_length_b 6.6245
_cell_length_c 6.6245
_cell_angle_alpha 90.00
_cell_angle_beta 90.00
_cell_angle_gamma 90.00
loop_
_atom_site_label
_atom_site_type_symbol
_atom_site_fract_x
_atom_site_fract_y
_atom_site_fract_z
_atom_site_occupancy
La1 La 0.0000 0.0000 0.0000 1
Hf1 Hf 0.0000 0.0000 0.5000 1
F1 F 0.2500 0.2500 0.2500 1

Entry 7:
# Li2BeFeAu GGA-PBE optimized geometry
# E: -3.382 eV per atom
# ρ: 6.1 g/cm3
data_Li2BeFeAu
_chemical_formula_sum 'Li2 Be1 Fe1 Au1'
_symmetry_space_group_name_H-M 'P 4/m m m'
_symmetry_Int_Tables_number 123
_symmetry_space_group_name_Hall '-P 4 2'
_cell_length_a 4.1999
_cell_length_b 4.1999
_cell_length_c 4.2886
_cell_angle_alpha 90.00
_cell_angle_beta 90.00
_cell_angle_gamma 90.00
loop_
_atom_site_label
_atom_site_type_symbol
_atom_site_fract_x
_atom_site_fract_y
_atom_site_fract_z
_atom_site_occupancy
Li1 Li 0.0000 0.5000 0.0000 1
Be1 Be 0.0000 0.0000 0.0000 1
Fe1 Fe 0.5000 0.5000 0.5000 1
Au1 Au 0.0000 0.0000 0.5000 1

Entry 8:
# YCo2Cl GGA-PBE optimized geometry
# formation energy from raw total energies: 0.11 eV per atom
# energy above the most stable polymorph in this dataset: 529 meV per atom
# ρ: 5.6 g/cm3
data_YCo2Cl
_chemical_formula_sum 'Y4 Co8 Cl4'
_symmetry_space_group_name_H-M 'I -4 2 d'
_symmetry_Int_Tables_number 122
_symmetry_space_group_name_Hall 'I -4 2bw'
_cell_length_a 4.5313
_cell_length_b 4.5313
_cell_length_c 14.0913
_cell_angle_alpha 90.00
_cell_angle_beta 90.00
_cell_angle_gamma 90.00
loop_
_atom_site_label
_atom_site_type_symbol
_atom_site_fract_x
_atom_site_fract_y
_atom_site_fract_z
_atom_site_occupancy
Y1 Y 0.0000 0.0000 0.0000 1
Co1 Co 0.0491 0.2500 0.6250 1
Cl1 Cl 0.0000 0.0000 0.5000 1

Entry 9:
# ScBeZn GGA-PBE optimized geometry
# energy above the most stable polymorph in this dataset: 781 meV per atom
# ρ: 3.4 g/cm3
data_ScBeZn
_chemical_formula_sum 'Sc4 Be4 Zn4'
_symmetry_space_group_name_H-M 'F -4 3 m'
_symmetry_Int_Tables_number 216
_symmetry_space_group_name_Hall 'F -4 2 3'
_cell_length_a 6.1554
_cell_length_b 6.1554
_cell_length_c 6.1554
_cell_angle_alpha 90.00
_cell_angle_beta 90.00
_cell_angle_gamma 90.00
loop_
_atom_site_label
_atom_site_type_symbol
_atom_site_fract_x
_atom_site_fract_y
_atom_site_fract_z
_atom_site_occupancy
Sc1 Sc 0.0000 0.0000 0.0000 1
Be1 Be 0.2500 0.2500 0.2500 1
Zn1 Zn 0.2500 0.2500 0.7500 1

Entry 10:
# Pr2Nd3Er2 GGA-PBE optimized geometry
# energy above the most stable polymorph in this dataset: 103 meV per atom
# ρ: 7.2 g/cm3
data_Pr2Nd3Er2
_chemical_formula_sum 'Pr4 Nd6 Er4'
_symmetry_space_group_name_H-M 'C 1 2/m 1'
_symmetry_Int_Tables_number 12
_symmetry_space_group_name_Hall '-C 2y'
_cell_length_a 17.8710
_cell_length_b 3.5594
_cell_length_c 8.6809
_cell_angle_alpha 90.00
_cell_angle_beta 119.00
_cell_angle_gamma 90.00
loop_
_atom_site_label
_atom_site_type_symbol
_atom_site_fract_x
_atom_site_fract_y
_atom_site_fract_z
_atom_site_occupancy
Pr1 Pr 0.0653 0.0000 0.4124 1
Nd1 Nd 0.0000 0.5000 0.0000 1
Nd2 Nd 0.2129 0.5000 0.2945 1
Er1 Er 0.1484 0.5000 0.8342 1

Entry 11:
# NaTcSbAu2 GGA-PBE optimized geometry
# formation energy from raw total energies: 1.34 eV per atom
# ρ: 8.6 g/cm3
data_NaTcSbAu2
_chemical_formula_sum 'Na1 Tc1 Sb1 Au2'
_symmetry_space_group_name_H-M 'P 4/m m m'
_symmetry_Int_Tables_number 123
_symmetry_space_group_name_Hall '-P 4 2'
_cell_length_a 4.8253
_cell_length_b 4.8253
_cell_length_c 5.2667
_cell_angle_alpha 90.00
_cell_angle_beta 90.00
_cell_angle_gamma 90.00
loop_
_atom_site_label
_atom_site_type_symbol
_atom_site_fract_x
_atom_site_fract_y
_atom_site_fract_z
_atom_site_occupancy
Na1 Na 0.0000 0.0000 0.0000 1
Tc1 Tc 0.5000 0.5000 0.5000 1
Sb1 Sb 0.0000 0.0000 0.5000 1
Au1 Au 0.0000 0.5000 0.0000 1

Entry 12:
# I4Br GGA-PBE optimized geometry
# formation energy from raw total energies: 0.03 eV per atom
# energy above the most stable polymorph in this dataset: 0 meV per atom
# ρ: 3.4 g/cm3
data_I4Br
_chemical_formula_sum 'I8 Br2'
_symmetry_space_group_name_H-M 'P 1'
_symmetry_Int_Tables_number 1
_symmetry_space_group_name_Hall 'P 1'
_cell_length_a 7.4347
_cell_length_b 7.4356
_cell_length_c 11.8242
_cell_angle_alpha 88.65
_cell_angle_beta 88.34
_cell_angle_gamma 61.41
loop_
_atom_site_label
_atom_site_type_symbol
_atom_site_fract_x
_atom_site_fract_y
_atom_site_fract_z
_atom_site_occupancy
I1 I 0.0000 0.0000 0.0000 1
I2 I 0.0049 0.4970 0.0071 1
I3 I 0.3027 0.8619 0.8314 1
I4 I 0.3085 0.3586 0.8390 1
I5 I 0.3370 0.8293 0.3333 1
I6 I 0.4746 0.5243 0.4992 1
I7 I 0.8349 0.8333 0.3398 1
I8 I 0.9727 0.5277 0.5053 1
Br1 Br 0.6230 0.2094 0.6680 1
Br2 Br 0.6864 0.1491 0.1715 1

Entry 13:
# YIrOF2 GGA-PBE optimized geometry
# formation energy from raw total energies: -1.12 eV per atom
# energy above the most stable polymorph in this dataset: 356 meV per atom
# ρ: 7.0 g/cm3
data_YIrOF2
_chemical_formula_sum 'Y1 Ir1 O1 F2'
_symmetry_space_group_name_H-M 'P 4/m m m'
_symmetry_Int_Tables_number 123
_symmetry_space_group_name_Hall '-P 4 2'
_cell_length_a 4.6339
_cell_length_b 4.6339
_cell_length_c 3.7149
_cell_angle_alpha 90.00
_cell_angle_beta 90.00
_cell_angle_gamma 90.00
loop_
_atom_site_label
_atom_site_type_symbol
_atom_site_fract_x
_atom_site_fract_y
_atom_site_fract_z
_atom_site_occupancy
Y1 Y 0.0000 0.0000 0.0000 1
Ir1 Ir 0.5000 0.5000 0.5000 1
O1 O 0.5000 0.5000 0.0000 1
F1 F 0.0000 0.5000 0.5000 1

Entry 14:
# KCd11Ni GGA-PBE optimized geometry
# E: -1.316 eV per atom
# ρ: 7.4 g/cm3
data_KCd11Ni
_chemical_formula_sum 'K2 Cd22 Ni2'
_symmetry_space_group_name_H-M 'C 1 2/m 1'
_symmetry_Int_Tables_number 12
_symmetry_space_group_name_Hall '-C 2y'
_cell_length_a 5.6365
_cell_length_b 14.4470
_cell_length_c 7.7636
_cell_angle_alpha 90.00
_cell_angle_beta 107.93
_cell_angle_gamma 90.00
loop_
_atom_site_label
_atom_site_type_symbol
_atom_site_fract_x
_atom_site_fract_y
_atom_site_fract_z
_atom_site_occupancy
K1 K 0.0000 0.0000 0.0000 1
Cd1 Cd 0.0000 0.0000 0.5000 1
Cd2 Cd 0.0920 0.3953 0.2283 1
Cd3 Cd 0.1835 0.1717 0.3630 1
Cd4 Cd 0.2500 0.2500 0.0000 1
Ni1 Ni 0.0000 0.5000 0.5000 1

Entry 15:
# CuTeBr GGA-PBE optimized geometry
# formation energy from raw total energies: -0.17 eV per atom
# ρ: 5.3 g/cm3
data_CuTeBr
_chemical_formula_sum 'Cu2 Te2 Br2'
_symmetry_space_group_name_H-M 'P 1'
_symmetry_Int_Tables_number 1
_symmetry_space_group_name_Hall 'P 1'
_cell_length_a 3.8723
_cell_length_b 5.5385
_cell_length_c 8.2351
_cell_angle_alpha 79.34
_cell_angle_beta 76.74
_cell_angle_gamma 89.92
loop_
_atom_site_label
_atom_site_type_symbol
_atom_site_fract_x
_atom_site_fract_y
_atom_site_fract_z
_atom_site_occupancy
Cu1 Cu 0.0000 0.0000 0.0000 1
Cu2 Cu 0.3739 0.3851 0.2585 1
Te1 Te 0.3926 0.8899 0.2213 1
Te2 Te 0.5230 0.3292 0.9504 1
Br1 Br 0.1119 0.7713 0.7723 1
Br2 Br 0.7830 0.3644 0.4445 1

Entry 16:
# Cd2RuPtO GGA-PBE optimized geometry
# formation energy from raw total energies: 0.00 eV per atom
# ρ: 10.6 g/cm3
data_Cd2RuPtO
_chemical_formula_sum 'Cd2 Ru1 Pt1 O1'
_symmetry_space_group_name_H-M 'P 4/m m m'
_symmetry_Int_Tables_number 123
_symmetry_space_group_name_Hall '-P 4 2'
_cell_length_a 4.7469
_cell_length_b 4.7469
_cell_length_c 3.7400
_cell_angle_alpha 90.00
_cell_angle_beta 90.00
_cell_angle_gamma 90.00
loop_
_atom_site_label
_atom_site_type_symbol
_atom_site_fract_x
_atom_site_fract_y
_atom_site_fract_z
_atom_site_occupancy
Cd1 Cd 0.0000 0.5000 0.0000 1
Ru1 Ru 0.0000 0.0000 0.5000 1
Pt1 Pt 0.5000 0.5000 0.5000 1
O1 O 0.0000 0.0000 0.0000 1

Entry 17:
# Pr4Sm2Tl GGA-PBE optimized geometry
# energy above the most stable polymorph in this dataset: 0 meV per atom
# ρ: 7.6 g/cm3
data_Pr4Sm2Tl
_chemical_formula_sum 'Pr8 Sm4 Tl2'
_symmetry_space_group_name_H-M 'P 1'
_symmetry_Int_Tables_number 1
_symmetry_space_group_name_Hall 'P 1'
_cell_length_a 6.4897
_cell_length_b 6.8649
_cell_length_c 12.3057
_cell_angle_alpha 83.39
_cell_angle_beta 75.81
_cell_angle_gamma 61.83
loop_
_atom_site_label
_atom_site_type_symbol
_atom_site_fract_x
_atom_site_fract_y
_atom_site_fract_z
_atom_site_occupancy
Pr1 Pr 0.0000 0.0000 0.0000 1
Pr2 Pr 0.0116 0.7568 0.2898 1
Pr3 Pr 0.1487 0.4806 0.7903 1
Pr4 Pr 0.3832 0.2360 0.5006 1
Pr5 Pr 0.4545 0.7128 0.4474 1
Pr6 Pr 0.4978 0.9004 0.1647 1
Pr7 Pr 0.5483 0.5244 0.9482 1
Pr8 Pr 0.7781 0.3382 0.6648 1
Sm1 Sm 0.0698 0.4319 0.0811 1
Sm2 Sm 0.5829 0.0029 0.8668 1
Sm3 Sm 0.8848 0.8048 0.5810 1
Sm4 Sm 0.9682 0.2348 0.3673 1
Tl1 Tl 0.2901 0.8995 0.7187 1
Tl2 Tl 0.5718 0.3379 0.2193 1

Entry 18:
# Ac2NdIn3Te6 GGA-PBE optimized geometry
# formation energy from raw total energies: -1.03 eV per atom
# ρ: 6.1 g/cm3
data_Ac2NdIn3Te6
_chemical_formula_sum 'Ac4 Nd2 In6 Te12'
_symmetry_space_group_name_H-M 'C 1 2/m 1'
_symmetry_Int_Tables_number 12
_symmetry_space_group_name_Hall '-C 2y'
_cell_length_a 8.1443
_cell_length_b 14.0883
_cell_length_c 8.5499
_cell_angle_alpha 90.00
_cell_angle_beta 108.49
_cell_angle_gamma 90.00
loop_
_atom_site_label
_atom_site_type_symbol
_atom_site_fract_x
_atom_site_fract_y
_atom_site_fract_z
_atom_site_occupancy
Ac1 Ac 0.0000 0.1664 0.0000 1
Nd1 Nd 0.0000 0.5000 0.0000 1
In1 In 0.0000 0.0000 0.5000 1
In2 In 0.0000 0.3319 0.5000 1
Te1 Te 0.2374 0.3391 0.2298 1
Te2 Te 0.2441 0.5000 0.7672 1

Entry 19:
# Nb2VOs3 GGA-PBE optimized geometry
# E: -10.093 eV per atom
# ρ: 12.2 g/cm3
data_Nb2VOs3
_chemical_formula_sum 'Nb8 V4 Os12'
_symmetry_space_group_name_H-M 'C m c m'
_symmetry_Int_Tables_number 63
_symmetry_space_group_name_Hall '-C 2c 2'
_cell_length_a 12.3163
_cell_length_b 7.0460
_cell_length_c 5.0831
_cell_angle_alpha 90.00
_cell_angle_beta 90.00
_cell_angle_gamma 90.00
loop_
_atom_site_label
_atom_site_type_symbol
_atom_site_fract_x
_atom_site_fract_y
_atom_site_fract_z
_atom_site_occupancy
Nb1 Nb 0.1673 0.1625 0.2500 1
V1 V 0.0000 0.3929 0.7500 1
Os1 Os 0.0000 0.0535 0.7500 1
Os2 Os 0.1678 0.5000 0.0000 1